A relaxed structure of CsTiCl4, computed with PBE.

Cell: 4.9960 19.3153 7.4583 Å, 90.00 90.00 90.00°
Space group Cmcm (No. 63)
Inequivalent atoms, fractional coordinates:
Cs  0.0000  0.1153  0.2500 [4 per cell]
Ti  0.0000  0.4066  0.2500 [4 per cell]
Cl  0.0000  0.0814  0.7500 [4 per cell]
Cl  0.0000  0.3235  0.0276 [8 per cell]
Cl  0.0000  0.5000  0.0000 [4 per cell]

Output
Energy relative to the elements, uncorrected: -1.699 eV per atom
Total moment: 1.0 μB per formula unit


A relaxed structure of Cs2Ti3Cl9, computed with PBE.

Cell: 10.9314 17.9082 10.2393 Å, 90.00 116.61 90.00°
Space group C2/m (No. 12)
Inequivalent atoms, fractional coordinates:
Cs  0.1013  0.1602  0.3052 [8 per cell]
Ti  0.1110  0.5000  0.8589 [4 per cell]
Ti  0.1372  0.4150  0.1569 [8 per cell]
Cl  0.0000  0.3140  0.0000 [4 per cell]
Cl  0.0195  0.4027  0.3038 [8 per cell]
Cl  0.1966  0.0000  0.6758 [4 per cell]
Cl  0.2078  0.1846  0.6810 [8 per cell]
Cl  0.2300  0.0930  0.9804 [8 per cell]
Cl  0.2483  0.5000  0.7246 [4 per cell]

Output
Energy relative to the elements, uncorrected: -1.669 eV per atom
Total moment: 2.0 μB per formula unit


A relaxed structure of CsTi2TlCl8, computed with PBE.

Cell: 6.9677 6.9677 10.8050 Å, 90.00 90.00 120.00°
Space group P-3 (No. 147)
Inequivalent atoms, fractional coordinates:
Cs  0.0000  0.0000  0.0000 [1 per cell]
Ti  0.3333  0.6667  0.7741 [2 per cell]
Tl  0.0000  0.0000  0.5000 [1 per cell]
Cl  0.0298  0.3460  0.7103 [6 per cell]
Cl  0.3333  0.6667  0.9843 [2 per cell]

Output
Energy relative to the elements, uncorrected: -1.522 eV per atom
Total moment: 2.0 μB per formula unit


A relaxed structure of CsTiTl2Cl6, computed with PBE.

Cell: 7.7983 7.7983 19.9075 Å, 90.00 90.00 120.00°
Space group R3 (No. 146, hexagonal axes)
Inequivalent atoms, fractional coordinates:
Cs  0.0000  0.0000  0.0000 [3 per cell]
Ti  0.0000  0.0000  0.4886 [3 per cell]
Tl  0.0000  0.0000  0.2821 [3 per cell]
Tl  0.0000  0.0000  0.7945 [3 per cell]
Cl  0.0235  0.2721  0.5558 [9 per cell]
Cl  0.0846  0.6699  0.0793 [9 per cell]

Output
Energy relative to the elements, uncorrected: -1.436 eV per atom
Total moment: 1.0 μB per formula unit